# 1
The following is a DFT calculation (GGA-PBE) of a geometry-optimized SrFeOs structure.

```
SrFeOs
1.0
9.104 -0.120 -0.044
0.575 4.729 -0.063
-0.007 -2.308 4.124
Sr Fe Os
2 2 2
Direct
0.529 0.325 0.379
0.949 0.520 0.978
0.241 0.697 0.816
0.240 0.697 0.316
0.294 0.182 0.809
0.182 0.213 0.324
```

Computed properties:
The spin magnetization is 0.74 μB/f.u. Its excess energy over the best structure of this formula in the dataset is 128 meV/atom. As for the space-group type: P1. Its calculated formation energy is 0.411 eV per atom.

# 2
The following is a DFT calculation (GGA-PBE) of a geometry-optimized Li2CeO3 structure.

```
Li2CeO3
1.0
5.560 -0.040 -0.030
-2.644 4.890 -0.030
1.194 1.988 5.400
O Li Ce
6 4 2
Direct
0.840 0.686 0.517
0.314 0.160 0.983
0.686 0.840 0.017
0.000 0.500 0.000
0.160 0.314 0.483
0.500 0.000 0.500
0.740 0.260 0.750
0.260 0.740 0.250
0.570 0.430 0.250
0.430 0.570 0.750
0.092 0.908 0.750
0.908 0.092 0.250
```

Computed properties:
The spin magnetization is 0.00 μB/f.u. As for the space-group type: C2/c. As for the uncorrected formation energy: -2598.1 meV/atom.